[1]
A plane-wave DFT calculation with PBE was carried out for a relaxed structure of ScIn2As.

Energy of formation from the pure elements, eV per atom: -0.138
DOS(E_F), states/eV/atom: 0.559
M_tot, μB/f.u.: 0.0
Electronic total energy, eV per atom: -4.25
Symmetry: F-43m

abc: 5.062 5.062 5.062
angles: 60.00 60.00 60.00
Fractional positions:
Sc  0.000  0.000  0.000
In  0.250  0.250  0.250
In  0.500  0.500  0.500
As  0.750  0.750  0.750


[2]
A plane-wave DFT calculation with PBE was carried out for a relaxed structure of ScIn2As.

Energy of formation from the pure elements, eV per atom: -0.332
DOS(E_F), states/eV/atom: 0.629
M_tot, μB/f.u.: 0.0
Electronic total energy, eV per atom: -4.45
Symmetry: R3m

abc: 8.335 8.335 8.335
angles: 26.42 26.42 26.42
Fractional positions:
Sc  0.000  0.000  0.000
In  0.238  0.238  0.238
In  0.471  0.471  0.471
As  0.728  0.728  0.728


[3]
A plane-wave DFT calculation with PBE was carried out for a relaxed structure of Sc2InAs.

Energy above the lowest structure with this stoichiometry, meV per atom: 0
Energy of formation from the pure elements, eV per atom: -0.824
DOS(E_F), states/eV/atom: 0.528
M_tot, μB/f.u.: 0.0
Electronic total energy, eV per atom: -5.84
Symmetry: C2/m

abc: 3.733 3.733 7.948
angles: 103.52 103.52 59.97
Fractional positions:
Sc  0.235  0.235  0.206
Sc  0.765  0.765  0.794
In  0.000  0.000  0.500
As  0.500  0.500  0.000


[4]
A plane-wave DFT calculation with PBE was carried out for a relaxed structure of ScIn2As.

Energy of formation from the pure elements, eV per atom: -0.469
DOS(E_F), states/eV/atom: 0.265
M_tot, μB/f.u.: 0.0
Electronic total energy, eV per atom: -4.58
Symmetry: P4mm

abc: 3.742 3.742 7.041
angles: 90.00 90.00 90.00
Fractional positions:
Sc  0.000  0.000  0.000
In  0.000  0.000  0.437
In  0.500  0.500  0.684
As  0.500  0.500  0.078


[5]
A plane-wave DFT calculation with PBE was carried out for a relaxed structure of ScInAs2.

Energy of formation from the pure elements, eV per atom: -0.105
DOS(E_F), states/eV/atom: 0.617
M_tot, μB/f.u.: 0.0
Electronic total energy, eV per atom: -4.70
Symmetry: P4mm

abc: 3.163 3.163 8.940
angles: 90.00 90.00 90.00
Fractional positions:
Sc  0.000  0.000  0.000
In  0.500  0.500  0.735
As  0.000  0.000  0.516
As  0.500  0.500  0.196


[6]
A plane-wave DFT calculation with PBE was carried out for a relaxed structure of ScIn2As.

Energy of formation from the pure elements, eV per atom: -0.201
DOS(E_F), states/eV/atom: 0.767
M_tot, μB/f.u.: 0.0
Electronic total energy, eV per atom: -4.32
Symmetry: P4/mmm

abc: 3.979 3.979 5.729
angles: 90.00 90.00 90.00
Fractional positions:
Sc  0.000  0.000  0.000
In  0.500  0.500  0.252
In  0.500  0.500  0.748
As  0.000  0.000  0.500


[7]
A plane-wave DFT calculation with PBE was carried out for a relaxed structure of ScInAs2.

Energy of formation from the pure elements, eV per atom: -0.616
DOS(E_F), states/eV/atom: 0.378
M_tot, μB/f.u.: 0.0
Electronic total energy, eV per atom: -5.21
Symmetry: P4mm

abc: 3.902 3.902 5.886
angles: 90.00 90.00 90.00
Fractional positions:
Sc  0.000  0.000  0.000
In  0.500  0.500  0.571
As  0.000  0.000  0.494
As  0.500  0.500  0.039


[8]
A plane-wave DFT calculation with PBE was carried out for a relaxed structure of ScInAs.

Energy above the lowest structure with this stoichiometry, meV per atom: 121
Energy of formation from the pure elements, eV per atom: -0.413
DOS(E_F), states/eV/atom: 0.896
M_tot, μB/f.u.: 0.0
Electronic total energy, eV per atom: -4.99
Symmetry: P3m1

abc: 3.933 3.933 5.563
angles: 90.00 90.00 120.00
Fractional positions:
Sc  0.000  0.000  0.000
In  0.333  0.667  0.581
As  0.667  0.333  0.240